! CeNiN | Alexandria via LeMat-Bulk | PBE-GGA | optimized geometry; values from VASP
! Size of the total moment = 0.1 μB/f.u.
! Fermi-level density of states = 6.598 states/eV/cell
! DFT total energy = -0.267 hartree per atom
! SG = P6_3/mmc, No. 194
! Calculated volume = 13.48 Å³ per atom
&SYSTEM
  ibrav = 0, nat = 12, ntyp = 3
/
ATOMIC_SPECIES
Ce 140.12 Ce.upf
Ni 58.69 Ni.upf
N 14.01 N.upf
CELL_PARAMETERS angstrom
3.572 0.000 0.000
-1.786 3.094 0.000
0.000 0.000 14.638
ATOMIC_POSITIONS crystal
Ce 0.000 0.000 0.000
Ce 0.000 0.000 0.250
Ce 0.000 0.000 0.500
Ce 0.000 0.000 0.750
Ni 0.333 0.667 0.120
Ni 0.333 0.667 0.380
Ni 0.667 0.333 0.620
Ni 0.667 0.333 0.880
N 0.333 0.667 0.636
N 0.333 0.667 0.864
N 0.667 0.333 0.136
N 0.667 0.333 0.364